Entry 1:
A relaxed structure of TaH, computed with PBE.

Computed properties:
DFT total energy = -7.465 eV per atom
Size of the total moment = 0.00 μB per cell
SG = C2/m (12)

Cell lengths 5.5428, 5.5428, 2.8066 Å; angles 94.48, 94.48, 29.69 degrees
Closest atoms and distances in Å follow each position.
Atoms (fractional coordinates):
Ta 0.1344 0.1344 0.2325  4 H 2.05-2.06
Ta 0.8656 0.8656 0.7675  4 H 2.05-2.06
H 0.4114 0.4114 0.2793  4 Ta 2.05-2.06, 1 H 2.18
H 0.5886 0.5886 0.7207  4 Ta 2.05-2.06, 1 H 2.18



Entry 2:
A relaxed structure of TaH, computed with PBE.

Computed properties:
DFT total energy = -7.371 eV per atom
Size of the total moment = 0.00 μB per cell
SG = P6_3/m (176)

Cell lengths 7.1520, 7.1520, 3.1931 Å; angles 90.00, 90.00, 120.00 degrees
Closest atoms and distances in Å follow each position.
Atoms (fractional coordinates):
Ta 0.1408 0.7362 0.2500  4 H 1.85-1.98
Ta 0.2638 0.4046 0.2500  4 H 1.85-1.98
Ta 0.4046 0.1408 0.7500  4 H 1.85-1.98
Ta 0.5954 0.8592 0.2500  4 H 1.85-1.98
Ta 0.7362 0.5954 0.7500  4 H 1.85-1.98
Ta 0.8592 0.2638 0.7500  4 H 1.85-1.98
H 0.0122 0.4190 0.2500  4 Ta 1.85-1.98, 2 H 2.03
H 0.4068 0.9878 0.2500  4 Ta 1.85-1.98, 2 H 2.03
H 0.4190 0.4068 0.7500  4 Ta 1.85-1.98, 2 H 2.03
H 0.5810 0.5932 0.2500  4 Ta 1.85-1.98, 2 H 2.03
H 0.5932 0.0122 0.7500  4 Ta 1.85-1.98, 2 H 2.03
H 0.9878 0.5810 0.7500  4 Ta 1.85-1.98, 2 H 2.03



Entry 3:
A relaxed structure of TaH2, computed with PBE.

Computed properties:
DFT total energy = -6.307 eV per atom
Size of the total moment = 0.00 μB per cell
SG = Fm-3m (225)

Cell lengths 3.1996, 3.1996, 3.1996 Å; angles 60.00, 60.00, 60.00 degrees
Closest atoms and distances in Å follow each position.
Atoms (fractional coordinates):
Ta 0.0000 0.0000 0.0000  8 H 1.96
H 0.2500 0.2500 0.2500  4 Ta 1.96
H 0.7500 0.7500 0.7500  4 Ta 1.96



Entry 4:
A relaxed structure of TaH, computed with PBE.

Computed properties:
DFT total energy = -7.426 eV per atom
Size of the total moment = 0.00 μB per cell
SG = I4/m (87)

Cell lengths 6.0055, 6.0055, 6.0055 Å; angles 93.75, 93.75, 150.38 degrees
Closest atoms and distances in Å follow each position.
Atoms (fractional coordinates):
Ta 0.1204 0.6715 0.7919  4 H 2.01-2.06
Ta 0.3285 0.1204 0.4489  4 H 2.01-2.06
Ta 0.6715 0.8796 0.5511  4 H 2.01-2.06
Ta 0.8796 0.3285 0.2081  4 H 2.01-2.06
H 0.1043 0.2328 0.3371  4 Ta 2.01-2.06
H 0.2328 0.8957 0.1285  4 Ta 2.01-2.06
H 0.7672 0.1043 0.8715  4 Ta 2.01-2.06
H 0.8957 0.7672 0.6629  4 Ta 2.01-2.06



Entry 5:
A relaxed structure of TaH2, computed with PBE.

Computed properties:
DFT total energy = -6.311 eV per atom
Size of the total moment = 0.00 μB per cell
SG = P-3m1 (164)

Cell lengths 3.2195, 3.2195, 5.1854 Å; angles 90.00, 90.00, 120.00 degrees
Closest atoms and distances in Å follow each position.
Atoms (fractional coordinates):
Ta 0.3333 0.6667 0.2513  7 H 1.90-1.98
Ta 0.6667 0.3333 0.7487  7 H 1.90-1.98
H 0.0000 0.0000 0.3296  1 H 1.77, 3 Ta 1.90
H 0.0000 0.0000 0.6704  1 H 1.77, 3 Ta 1.90
H 0.3333 0.6667 0.8810  4 Ta 1.92-1.98
H 0.6667 0.3333 0.1190  4 Ta 1.92-1.98



Entry 6:
A relaxed structure of TaH, computed with PBE.

Computed properties:
DFT total energy = -7.773 eV per atom
Size of the total moment = 0.00 μB per cell
SG = Pmmn (59)

Cell lengths 3.4608, 10.2431, 3.4846 Å; angles 90.00, 90.00, 90.00 degrees
Closest atoms and distances in Å follow each position.
Atoms (fractional coordinates):
Ta 0.2500 0.0833 0.2361  4 H 1.93-1.94
Ta 0.2500 0.4167 0.2361  4 H 1.93-1.94
Ta 0.2500 0.7500 0.2660  4 H 1.93-1.94
Ta 0.7500 0.2500 0.7340  4 H 1.93-1.94
Ta 0.7500 0.5833 0.7639  4 H 1.93-1.94
Ta 0.7500 0.9167 0.7639  4 H 1.93-1.94
H 0.2500 0.2500 0.9770  4 Ta 1.93
H 0.2500 0.5799 0.5133  4 Ta 1.93-1.94
H 0.2500 0.9201 0.5133  4 Ta 1.93-1.94
H 0.7500 0.0799 0.4867  4 Ta 1.93-1.94
H 0.7500 0.4201 0.4867  4 Ta 1.93-1.94
H 0.7500 0.7500 0.0230  4 Ta 1.93



Entry 7:
A relaxed structure of TaH5, computed with PBE.

Computed properties:
DFT total energy = -4.682 eV per atom
Size of the total moment = 0.00 μB per cell
Relative energy among the computed polymorphs = 0.00 eV/f.u.
SG = Cmmm (65)

Cell lengths 4.9958, 4.9958, 2.9597 Å; angles 90.00, 90.00, 145.61 degrees
Closest atoms and distances in Å follow each position.
Atoms (fractional coordinates):
Ta 0.0000 0.0000 0.0000  12 H 1.95-2.09
H 0.1326 0.8674 0.5000  6 H 1.95-2.09, 2 Ta 1.95
H 0.3664 0.6336 0.0000  2 Ta 1.95, 6 H 1.95-2.09
H 0.5000 0.5000 0.5000  8 H 1.95, 4 Ta 2.09
H 0.6336 0.3664 0.0000  2 Ta 1.95, 6 H 1.95-2.09
H 0.8674 0.1326 0.5000  6 H 1.95-2.09, 2 Ta 1.95



Entry 8:
A relaxed structure of TaH, computed with PBE.

Computed properties:
DFT total energy = -7.262 eV per atom
Size of the total moment = 0.00 μB per cell
SG = Immm (71)

Cell lengths 5.3016, 5.3016, 5.3016 Å; angles 149.95, 141.72, 49.42 degrees
Closest atoms and distances in Å follow each position.
Atoms (fractional coordinates):
Ta 0.1520 0.1520 0.0000  5 H 1.99-2.22
Ta 0.8480 0.8480 0.0000  5 H 1.99-2.22
H 0.3584 0.3584 0.0000  5 Ta 1.99-2.22
H 0.6416 0.6416 0.0000  5 Ta 1.99-2.22